No. 1
DFT (PBE-GGA) results for crystalline Pm2Pr3Sm2 at its relaxed geometry.

a = 17.890 Å, b = 3.575 Å, c = 8.810 Å
α = 90.00°, β = 118.78°, γ = 90.00°
Element x y z (fractional)
1 Pm 0.146 0.000 0.328
2 Pm 0.354 0.500 0.672
3 Pm 0.646 0.500 0.328
4 Pm 0.854 0.000 0.672
5 Pr 0.000 0.000 0.500
6 Pr 0.214 0.000 0.801
7 Pr 0.286 0.500 0.199
8 Pr 0.500 0.500 0.500
9 Pr 0.714 0.500 0.801
10 Pr 0.786 0.000 0.199
11 Sm 0.064 0.500 0.908
12 Sm 0.436 0.000 0.092
13 Sm 0.564 0.000 0.908
14 Sm 0.936 0.500 0.092

Formation energy from the elements   0.10 eV/atom
Symmetry   C2/m
Energy above the lowest structure with this stoichiometry   0 meV per atom
Crystal system   monoclinic

=====

No. 2
DFT (PBE-GGA) results for crystalline TlSnGe2 at its relaxed geometry.

a = 4.151 Å, b = 4.151 Å, c = 20.550 Å
α = 90.00°, β = 90.00°, γ = 120.00°
Element x y z (fractional)
1 Tl 0.000 0.000 0.000
2 Tl 0.333 0.667 0.667
3 Tl 0.667 0.333 0.333
4 Sn 0.000 0.000 0.500
5 Sn 0.333 0.667 0.167
6 Sn 0.667 0.333 0.833
7 Ge 0.000 0.000 0.241
8 Ge 0.000 0.000 0.759
9 Ge 0.333 0.667 0.425
10 Ge 0.333 0.667 0.908
11 Ge 0.667 0.333 0.092
12 Ge 0.667 0.333 0.575

Formation energy from the elements   0.24 eV/atom
Symmetry   R-3m
Energy above the lowest structure with this stoichiometry   0 meV per atom
Crystal system   trigonal

=====

No. 3
DFT (PBE-GGA) results for crystalline TlHgI2 at its relaxed geometry.

a = 5.815 Å, b = 5.815 Å, c = 4.176 Å
α = 90.00°, β = 90.00°, γ = 90.00°
Element x y z (fractional)
1 Tl 0.000 0.000 0.000
2 Hg 0.500 0.500 0.000
3 I 0.000 0.500 0.500
4 I 0.500 0.000 0.500

Uncorrected formation energy   -0.263 eV per atom
Symmetry   P4/mmm
Energy above the lowest structure with this stoichiometry   150 meV per atom
Crystal system   tetragonal